1.
TlRh2C (PBE, optimized geometry); space-group type = I-42d (122)
1.0
6.489 0.000 0.000
0.000 6.489 0.000
3.245 3.245 2.976
Tl Rh C
2 4 2
direct
0.750 0.250 0.500 Tl
0.000 0.000 0.000 Tl
0.875 0.753 0.750 Rh
0.503 0.125 0.250 Rh
0.247 0.625 0.250 Rh
0.375 0.497 0.750 Rh
0.250 0.750 0.500 C
0.500 0.500 0.000 C

2.
TlRh2C (PBE, optimized geometry); space-group type = Fm-3m (225)
1.0
0.000 3.106 3.106
3.106 0.000 3.106
3.106 3.106 0.000
Rh C Tl
2 1 1
direct
0.750 0.750 0.750 Rh
0.250 0.250 0.250 Rh
0.000 0.000 0.000 C
0.500 0.500 0.500 Tl

3.
TlRhC2 (PBE, optimized geometry); space-group type = I-42d (122)
1.0
5.149 0.000 0.000
0.000 5.149 0.000
2.575 2.575 4.836
C Tl Rh
4 2 2
direct
0.375 0.462 0.750 C
0.875 0.788 0.750 C
0.538 0.125 0.250 C
0.212 0.625 0.250 C
0.000 0.000 0.000 Tl
0.750 0.250 0.500 Tl
0.250 0.750 0.500 Rh
0.500 0.500 0.000 Rh

4.
TlRh3C (PBE, optimized geometry); space-group type = Pm-3m (221)
1.0
4.157 0.000 0.000
0.000 4.157 0.000
0.000 0.000 4.157
Rh Tl C
3 1 1
direct
0.000 0.000 0.500 Rh
0.500 0.000 0.000 Rh
0.000 0.500 0.000 Rh
0.500 0.500 0.500 Tl
0.000 0.000 0.000 C

5.
TlRhC2 (PBE, optimized geometry); space-group type = Fm-3m (225)
1.0
0.000 2.931 2.931
2.931 0.000 2.931
2.931 2.931 0.000
C Rh Tl
2 1 1
direct
0.250 0.250 0.250 C
0.750 0.750 0.750 C
0.000 0.000 0.000 Rh
0.500 0.500 0.500 Tl

6.
TlRh3C (PBE, optimized geometry); space-group type = Pm-3m (221)
1.0
4.997 0.000 0.000
0.000 4.997 0.000
0.000 0.000 4.997
C Rh Tl
1 3 1
direct
0.500 0.500 0.500 C
0.500 0.000 0.000 Rh
0.000 0.500 0.000 Rh
0.000 0.000 0.500 Rh
0.000 0.000 0.000 Tl

7.
Tm2Rh6C (PBE, optimized geometry); space-group type = Fm-3m (225)
1.0
4.997 0.000 2.885
1.666 4.711 2.885
0.000 0.000 5.770
Rh C Tm
6 1 2
direct
0.746 0.746 0.254 Rh
0.254 0.746 0.254 Rh
0.254 0.254 0.746 Rh
0.746 0.254 0.254 Rh
0.254 0.746 0.746 Rh
0.746 0.254 0.746 Rh
0.000 0.000 0.000 C
0.750 0.750 0.750 Tm
0.250 0.250 0.250 Tm

8.
Tm2RhC (PBE, optimized geometry); space-group type = R-3m (166)
1.0
-1.429 2.766 -1.538
0.008 0.258 -3.463
-6.521 -2.259 -1.926
Rh Tm C
1 2 1
direct
0.000 0.000 0.000 Rh
0.233 0.233 0.302 Tm
0.767 0.767 0.698 Tm
0.500 0.500 0.500 C

9.
Tm2Rh4C (PBE, optimized geometry); space-group type = I4/mmm (139)
1.0
-0.496 -3.226 2.487
3.971 -0.944 -0.432
3.297 1.944 6.566
Rh C Tm
4 1 2
direct
0.500 0.000 0.000 Rh
0.854 0.854 0.292 Rh
0.146 0.146 0.708 Rh
0.000 0.500 0.000 Rh
0.000 0.000 0.000 C
0.344 0.344 0.312 Tm
0.656 0.656 0.688 Tm

10.
TmRh3C (PBE, optimized geometry); space-group type = Pm-3m (221)
1.0
-1.961 1.136 -3.491
3.128 -1.555 -2.263
-1.922 -3.690 -0.121
Rh Tm C
3 1 1
direct
0.500 0.500 0.000 Rh
0.500 0.000 0.500 Rh
0.000 0.500 0.500 Rh
0.000 0.000 0.000 Tm
0.500 0.500 0.500 C

11.
URhC (PBE, optimized geometry); space-group type = R3m (160)
1.0
-2.410 -2.942 -1.248
-1.487 -2.580 2.673
-3.896 0.144 0.904
Rh U C
1 1 1
direct
0.194 0.194 0.194 Rh
0.695 0.695 0.695 U
0.442 0.442 0.442 C

12.
VRhC3 (PBE, optimized geometry); space-group type = Pm-3m (221)
1.0
3.940 0.000 0.000
0.000 3.940 0.000
0.000 0.000 3.940
C Rh V
3 1 1
direct
0.000 0.000 0.500 C
0.500 0.000 0.000 C
0.000 0.500 0.000 C
0.000 0.000 0.000 Rh
0.500 0.500 0.500 V

13.
V7RhC2 (PBE, optimized geometry); space-group type = Cmmm (65)
1.0
3.963 0.000 0.000
0.000 6.058 0.014
0.000 -2.720 5.413
C V Rh
2 7 1
direct
0.500 0.705 0.295 C
0.500 0.295 0.705 C
0.000 0.278 0.722 V
0.500 0.064 0.327 V
0.500 0.673 0.936 V
0.500 0.936 0.673 V
0.500 0.327 0.064 V
0.500 0.500 0.500 V
0.000 0.722 0.278 V
0.000 0.000 0.000 Rh

14.
VRhC2 (PBE, optimized geometry); space-group type = Fm-3m (225)
1.0
0.000 2.653 2.653
2.653 0.000 2.653
2.653 2.653 0.000
V C Rh
1 2 1
direct
0.000 0.000 0.000 V
0.750 0.750 0.750 C
0.250 0.250 0.250 C
0.500 0.500 0.500 Rh

15.
VRhC3 (PBE, optimized geometry); space-group type = Pm-3m (221)
1.0
-3.041 -1.450 1.889
2.079 -3.111 0.959
1.162 1.772 3.230
C Rh V
3 1 1
direct
0.000 0.000 0.500 C
0.500 0.000 0.000 C
0.000 0.500 0.000 C
0.500 0.500 0.500 Rh
0.000 0.000 0.000 V

16.
V2RhC (PBE, optimized geometry); space-group type = I-42d (122)
1.0
-0.881 -6.312 -2.189
5.589 0.514 -3.730
3.544 -3.648 -1.279
Rh C V
2 2 4
direct
0.000 0.000 0.000 Rh
0.750 0.250 0.500 Rh
0.250 0.750 0.500 C
0.500 0.500 0.000 C
0.875 0.764 0.750 V
0.236 0.625 0.250 V
0.514 0.125 0.250 V
0.375 0.486 0.750 V

17.
V2RhC (PBE, optimized geometry); space-group type = R3m (160)
1.0
-1.675 -1.608 1.690
1.116 -1.314 2.297
-1.532 4.258 4.975
V Rh C
2 1 1
direct
0.276 0.276 0.173 V
0.058 0.058 0.825 V
0.499 0.499 0.503 Rh
0.667 0.667 0.999 C

18.
V2RhC (PBE, optimized geometry); space-group type = R-3m (166)
1.0
2.869 0.000 0.000
1.435 2.485 0.000
1.435 0.828 6.542
Rh C V
1 1 2
direct
0.500 0.500 0.500 Rh
0.000 0.000 0.000 C
0.724 0.724 0.827 V
0.276 0.276 0.173 V

19.
VRhC2 (PBE, optimized geometry); space-group type = I-42d (122)
1.0
4.533 0.000 0.000
0.000 4.533 0.000
2.267 2.267 4.626
C V Rh
4 2 2
direct
0.875 0.870 0.750 C
0.375 0.380 0.750 C
0.620 0.125 0.250 C
0.130 0.625 0.250 C
0.500 0.500 0.000 V
0.250 0.750 0.500 V
0.750 0.250 0.500 Rh
0.000 0.000 0.000 Rh

20.
YVRh2C (PBE, optimized geometry); space-group type = P4/mmm (123)
1.0
-0.133 4.179 -0.461
-3.897 -0.274 -1.365
-1.409 0.390 3.945
C V Y Rh
1 1 1 2
direct
0.000 0.000 0.000 C
0.000 0.500 0.000 V
0.500 0.500 0.500 Y
0.000 0.000 0.500 Rh
0.500 0.000 0.000 Rh

21.
V2ZnRhC (PBE, optimized geometry); space-group type = P4/mmm (123)
1.0
-1.518 4.226 -0.303
-3.907 -1.543 -1.945
-1.877 -0.382 4.073
Rh V C Zn
1 2 1 1
direct
0.000 0.000 0.000 Rh
0.000 0.000 0.500 V
0.500 0.000 0.000 V
0.500 0.500 0.500 C
0.000 0.500 0.000 Zn

22.
ZrV2RhC (PBE, optimized geometry); space-group type = P4/mmm (123)
1.0
4.064 0.000 0.000
0.000 4.064 0.000
0.000 0.000 4.202
Zr V C Rh
1 2 1 1
direct
0.500 0.500 0.500 Zr
0.000 0.500 0.000 V
0.500 0.000 0.000 V
0.000 0.000 0.000 C
0.000 0.000 0.500 Rh

23.
Rh3WC (PBE, optimized geometry); space-group type = Pm-3m (221)
1.0
4.085 0.000 0.000
0.000 4.085 0.000
0.000 0.000 4.085
Rh W C
3 1 1
direct
0.000 0.500 0.000 Rh
0.000 0.000 0.500 Rh
0.500 0.000 0.000 Rh
0.500 0.500 0.500 W
0.000 0.000 0.000 C

24.
RhW3C (PBE, optimized geometry); space-group type = Pm-3m (221)
1.0
4.132 0.000 0.000
0.000 4.132 0.000
0.000 0.000 4.132
W C Rh
3 1 1
direct
0.000 0.000 0.500 W
0.000 0.500 0.000 W
0.500 0.000 0.000 W
0.000 0.000 0.000 C
0.500 0.500 0.500 Rh

25.
Rh3WC (PBE, optimized geometry); space-group type = Pm-3m (221)
1.0
4.686 0.000 0.000
0.000 4.686 0.000
0.000 0.000 4.686
Rh C W
3 1 1
direct
0.000 0.000 0.500 Rh
0.500 0.000 0.000 Rh
0.000 0.500 0.000 Rh
0.500 0.500 0.500 C
0.000 0.000 0.000 W

26.
Rh2W3C (PBE, optimized geometry); space-group type = P4_132 (213)
1.0
6.885 0.000 0.000
0.000 6.885 0.000
0.000 0.000 6.885
W Rh C
12 8 4
direct
0.049 0.875 0.701 W
0.125 0.201 0.451 W
0.201 0.451 0.125 W
0.799 0.951 0.375 W
0.701 0.049 0.875 W
0.951 0.375 0.799 W
0.375 0.799 0.951 W
0.549 0.625 0.299 W
0.625 0.299 0.549 W
0.875 0.701 0.049 W
0.451 0.125 0.201 W
0.299 0.549 0.625 W
0.062 0.062 0.062 Rh
0.438 0.938 0.562 Rh
0.312 0.188 0.812 Rh
0.188 0.812 0.312 Rh
0.938 0.562 0.438 Rh
0.812 0.312 0.188 Rh
0.562 0.438 0.938 Rh
0.688 0.688 0.688 Rh
0.875 0.125 0.625 C
0.375 0.375 0.375 C
0.125 0.625 0.875 C
0.625 0.875 0.125 C

27.
Rh2WC (PBE, optimized geometry); space-group type = I-42d (122)
1.0
5.190 0.000 0.000
0.000 5.190 0.000
2.595 2.595 4.797
Rh C W
4 2 2
direct
0.205 0.625 0.250 Rh
0.545 0.125 0.250 Rh
0.875 0.795 0.750 Rh
0.375 0.455 0.750 Rh
0.250 0.750 0.500 C
0.500 0.500 0.000 C
0.750 0.250 0.500 W
0.000 0.000 0.000 W

V values (in Å³/cell) by entry order: 125.3 59.9 128.2 71.8 50.4 124.7 135.8 71.8 118.3 72.1 46.0 61.2 130.1 37.3 57.6 99.5 46.6 46.6 95.1 73.2 93.8 69.4 68.2 70.5 102.9 326.4 129.2.
Calculated formation energy values (in kJ per mole of atoms) by entry order: 22.7 132.1 124.2 7.1 211.8 288.2 -62.3 -42.7 -45.4 -52.9 6.1 218.8 1.8 88.1 189.1 -0.4 -45.6 -46.2 42.0 -21.3 191.4 -19.6 48.1 11.6 238.1 -6.3 71.0.
N(E_F) values (in states/eV per cell) by entry order: 2.64 4.40 2.71 0.73 2.28 6.33 7.14 2.78 1.33 0.98 1.92 6.80 11.21 3.02 5.05 8.24 2.70 3.02 4.48 7.03 7.22 6.46 1.56 3.26 3.51 20.55 2.15.